AcPb2S3 | PBE | relaxed

Its volume is 784.4 Å³/cell. The raw formation energy comes out at -0.589 eV/atom. The calculation puts the density of states at the Fermi level at 6.64 states/eV/cell.

abc: 11.960 10.990 5.968
angles: 90.00 90.00 90.00
Space group Cmcm (No. 63)
Asymmetric unit:
1 Ac 0.000 0.129 0.250 x4
2 Pb 0.161 0.500 0.000 x8
3 S 0.000 0.347 0.750 x4
4 S 0.135 0.084 0.750 x8

---

Li2GeS | PBE | relaxed

Its volume is 256.7 Å³/cell. The raw formation energy comes out at -0.295 eV/atom. The calculation puts the density of states at the Fermi level at 7.73 states/eV/cell.

abc: 6.355 6.355 6.355
angles: 90.00 90.00 90.00
Space group Fm-3m (No. 225)
Asymmetric unit:
1 Li 0.250 0.250 0.250 x8
2 Ge 0.000 0.000 0.000 x4
3 S 0.000 0.000 0.500 x4

---

AcSmDy2S4 | PBE | relaxed

Its volume is 185.9 Å³/cell. The raw formation energy comes out at -1.981 eV/atom. The calculation puts the density of states at the Fermi level at 4.29 states/eV/cell.

abc: 6.917 3.966 7.152
angles: 90.00 108.62 90.00
Space group P2/m (No. 10)
Asymmetric unit:
1 Ac 0.000 0.000 0.000 x1
2 Sm 0.500 0.500 0.000 x1
3 Dy 0.000 0.500 0.500 x1
4 Dy 0.500 0.000 0.500 x1
5 S 0.251 0.000 0.732 x2
6 S 0.266 0.500 0.274 x2

---

TcNi2Ag | PBE | relaxed

The total DFT energy (no corrections) comes out at -46.99 eV per cell. Its volume is 107.9 Å³/cell. The calculation puts the density of states at the Fermi level at 10.42 states/eV/cell.

abc: 5.585 7.324 2.638
angles: 90.00 90.00 90.00
Space group Cmmm (No. 65)
Asymmetric unit:
1 Tc 0.000 0.000 0.000 x2
2 Ni 0.250 0.250 0.500 x4
3 Ag 0.000 0.500 0.000 x2

---

BeNbO | PBE | relaxed

Its volume is 34.2 Å³/cell. The raw formation energy comes out at -1.290 eV/atom. The calculation puts the density of states at the Fermi level at 0.90 states/eV/cell.

abc: 2.7887 2.7887 5.0848
angles: 90.00 90.00 120.00
Space group P3m1 (No. 156)
Asymmetric unit:
1 Be 0.0000 0.0000 0.0000 x1
2 Nb 0.3333 0.6667 0.5189 x1
3 O 0.3333 0.6667 0.0859 x1

---

CePmInIr | PBE | relaxed

The total DFT energy (no corrections) comes out at -95.16 eV per cell. Its volume is 397.4 Å³/cell. The calculation puts the density of states at the Fermi level at 30.79 states/eV/cell.

abc: 7.352 7.352 7.352
angles: 90.00 90.00 90.00
Space group F-43m (No. 216)
Asymmetric unit:
1 Ce 0.000 0.000 0.000 x4
2 Pm 0.000 0.000 0.500 x4
3 In 0.250 0.250 0.750 x4
4 Ir 0.250 0.250 0.250 x4

---

RbBi2Ir | PBE | relaxed

The total DFT energy (no corrections) comes out at -53.65 eV per cell. Its volume is 395.1 Å³/cell. The calculation puts the density of states at the Fermi level at 6.15 states/eV/cell.

abc: 4.3415 4.3415 24.2060
angles: 90.00 90.00 120.00
Space group R-3m (No. 166, hexagonal axes)
Asymmetric unit:
1 Rb 0.0000 0.0000 0.0000 x3
2 Bi 0.0000 0.0000 0.2171 x6
3 Ir 0.0000 0.0000 0.5000 x3